Below is crystalline AcHgAsO at its relaxed geometry, with properties calculated at the PBE level.

Results
The value obtained for the relative energy among the computed polymorphs is 478 meV per atom. The value obtained for the total DFT energy (no corrections) is -18.69 eV for the cell shown.

Lattice parameters (Å, degrees): 4.6334 4.6334 4.8795 90.00 90.00 90.00
Sites, in units of the cell vectors:
Ac  0.0000  0.0000  0.0000
Hg  0.5000  0.5000  0.5000
As  0.5000  0.5000  0.0000
O  0.0000  0.0000  0.5000